A plane-wave DFT calculation with GGA-PBE was carried out for a geometry-optimized CuIr2Pb structure.

- Size of the total moment: 0.000 μB/atom
- Energy relative to the elements: 0.688 eV per atom
- Final energy: -22.77 eV/cell

Geometry as POSCAR:
```
CuIr2Pb
1.0
2.8897 0.0044 0.0000
-1.3609 2.5492 0.0000
0.0000 0.0000 9.2769
Ir Pb Cu
2 1 1
Cartesian
0.0000 0.0000 9.0061 Ir
0.0000 0.0000 4.9093 Ir
0.7644 1.2768 2.3192 Pb
0.7644 1.2768 6.9577 Cu
```

---

A plane-wave DFT calculation with GGA-PBE was carried out for a geometry-optimized CuIr2Pb structure.

- Size of the total moment: 0.000 μB/atom
- Energy relative to the elements: 0.480 eV per atom
- Final energy: -23.61 eV/cell

Geometry as POSCAR:
```
CuIr2Pb
1.0
-5.2586 -1.4674 0.2827
3.5584 -2.6354 3.2060
-0.8258 0.6203 2.7387
Pb Cu Ir
1 1 2
Cartesian
-3.0422 -0.4235 1.5107 Pb
1.3663 -1.0075 2.9723 Cu
-0.8501 -2.0514 1.7443 Ir
0.0000 0.0000 0.0000 Ir
```

---

A plane-wave DFT calculation with GGA-PBE was carried out for a geometry-optimized CuIr2Pb structure.

- Size of the total moment: 0.000 μB/atom
- Energy relative to the elements: 0.491 eV per atom
- Final energy: -23.56 eV/cell

Geometry as POSCAR:
```
CuIr2Pb
1.0
4.6531 0.0436 0.0000
-0.9876 4.5473 0.0000
0.0000 0.0000 3.0810
Ir Pb Cu
2 1 1
Cartesian
1.8328 2.2955 0.0000 Ir
0.0000 0.0000 0.0000 Ir
2.3266 0.0218 1.5405 Pb
-0.4938 2.2737 1.5405 Cu
```

---

A plane-wave DFT calculation with GGA-PBE was carried out for a geometry-optimized CuIrPb2 structure.

- Polymorph energy (0 for the lowest one): 0.222 eV/atom
- Size of the total moment: 0.000 μB/atom
- Energy relative to the elements: 0.452 eV per atom
- Final energy: -18.57 eV/cell

Geometry as POSCAR:
```
CuIrPb2
1.0
-0.5012 -8.0155 3.3815
1.9741 -8.4112 1.1349
2.6548 -7.1661 4.1873
Ir Pb Cu
1 2 1
Cartesian
3.0958 -17.6946 6.5277 Ir
0.0025 -0.0145 0.0053 Pb
2.0613 -11.7819 4.3465 Pb
1.0319 -5.8982 2.1759 Cu
```

---

A plane-wave DFT calculation with GGA-PBE was carried out for a geometry-optimized CuIr2Pb structure.

- Size of the total moment: 0.001 μB/atom
- Energy relative to the elements: 0.532 eV per atom
- Final energy: -23.40 eV/cell

Geometry as POSCAR:
```
CuIr2Pb
1.0
-0.1178 -4.4783 -0.6977
3.6193 -2.5446 0.9908
-0.1247 -2.8418 3.5305
Cu Ir Pb
1 2 1
Cartesian
1.6884 -4.9323 1.9118 Cu
0.0000 0.0000 0.0000 Ir
0.8442 -2.4662 0.9559 Ir
2.5327 -7.3985 2.8677 Pb
```

---

A plane-wave DFT calculation with GGA-PBE was carried out for a geometry-optimized CuIr2Pb structure.

- Size of the total moment: 0.000 μB/atom
- Energy relative to the elements: 0.427 eV per atom
- Final energy: -23.82 eV/cell

Geometry as POSCAR:
```
CuIr2Pb
1.0
-2.7064 -5.8959 -1.4200
2.2266 -5.7311 -2.5099
-0.1338 5.0270 4.3376
Ir Cu Pb
2 1 1
Cartesian
-1.5389 -3.3143 0.4854 Ir
-0.4441 -10.7646 -3.6385 Ir
0.9108 -3.6394 -0.1973 Cu
-0.2608 -6.3222 -2.1369 Pb
```

---

Q: What is the formula in the first record?
A: CuIr2Pb

---

Q: Number 4 is which compound?
A: CuIrPb2

---

Q: The highest energy relative to the elements belongs to which entry?
A: number 1